1.
A plane-wave DFT calculation with SCAN was carried out for Zr2ScCd at its PBEsol-relaxed geometry.

Geometry as CIF:
```
data_Zr2ScCd
_chemical_formula_sum 'Zr4 Sc2 Cd2'
_cell_length_a 4.356
_cell_length_b 4.356
_cell_length_c 8.947
_cell_angle_alpha 90.00
_cell_angle_beta 90.00
_cell_angle_gamma 90.00
_space_group_name_H-M_alt 'I -4 m 2'
_space_group_IT_number 119
_space_group_name_Hall 'I -4 -2'
loop_
_atom_site_label
_atom_site_fract_x
_atom_site_fract_y
_atom_site_fract_z
Zr1 0.000 0.000 0.000
Zr2 0.000 0.500 0.250
Sc1 0.000 0.500 0.750
Cd1 0.000 0.000 0.500
```

Summary:
ΔE_f ... -97 meV per atom
Electronic total energy ... -212.9 eV/cell
Mass density ... 6.65 g/cm3

---

2.
A plane-wave DFT calculation with SCAN was carried out for SiNi2Rh at its PBEsol-relaxed geometry.

Geometry as CIF:
```
data_SiNi2Rh
_chemical_formula_sum 'Si2 Ni4 Rh2'
_cell_length_a 3.707
_cell_length_b 3.707
_cell_length_c 6.631
_cell_angle_alpha 90.00
_cell_angle_beta 90.00
_cell_angle_gamma 90.00
_space_group_name_H-M_alt 'I -4 m 2'
_space_group_IT_number 119
_space_group_name_Hall 'I -4 -2'
loop_
_atom_site_label
_atom_site_fract_x
_atom_site_fract_y
_atom_site_fract_z
Si1 0.000 0.000 0.000
Ni1 0.000 0.000 0.500
Ni2 0.000 0.500 0.250
Rh1 0.000 0.500 0.750
```

Summary:
Electronic total energy ... -155.8 eV/cell
Raw formation energy ... -0.45 eV/atom
Mass density ... 9.05 g/cm3

---

3.
A plane-wave DFT calculation with SCAN was carried out for Sc2TcHPt at its PBEsol-relaxed geometry.

Geometry as CIF:
```
data_Sc2TcHPt
_chemical_formula_sum 'Sc2 Tc1 H1 Pt1'
_cell_length_a 4.868
_cell_length_b 4.868
_cell_length_c 3.318
_cell_angle_alpha 90.00
_cell_angle_beta 90.00
_cell_angle_gamma 90.00
_space_group_name_H-M_alt 'P 4/m m m'
_space_group_IT_number 123
_space_group_name_Hall '-P 4 2'
loop_
_atom_site_label
_atom_site_fract_x
_atom_site_fract_y
_atom_site_fract_z
Sc1 0.000 0.500 0.000
Tc1 0.000 0.000 0.000
H1 0.000 0.000 0.500
Pt1 0.500 0.500 0.500
```

Summary:
Electronic total energy ... -137.8 eV/cell
Mass density ... 8.11 g/cm3

---

4.
A plane-wave DFT calculation with SCAN was carried out for Mg2AlZn at its PBEsol-relaxed geometry.

Geometry as CIF:
```
data_Mg2AlZn
_chemical_formula_sum 'Mg4 Al2 Zn2'
_cell_length_a 4.201
_cell_length_b 4.201
_cell_length_c 8.318
_cell_angle_alpha 90.00
_cell_angle_beta 90.00
_cell_angle_gamma 90.00
_space_group_name_H-M_alt 'I -4 m 2'
_space_group_IT_number 119
_space_group_name_Hall 'I -4 -2'
loop_
_atom_site_label
_atom_site_fract_x
_atom_site_fract_y
_atom_site_fract_z
Mg1 0.000 0.000 0.000
Mg2 0.000 0.500 0.250
Al1 0.000 0.500 0.750
Zn1 0.000 0.000 0.500
```

Summary:
ΔE_f ... -9 meV per atom
Electronic total energy ... -62.5 eV/cell
Mass density ... 3.19 g/cm3

---

5.
A plane-wave DFT calculation with SCAN was carried out for AuN at its PBEsol-relaxed geometry.

Geometry as CIF:
```
data_AuN
_chemical_formula_sum 'Au4 N4'
_cell_length_a 4.887
_cell_length_b 4.887
_cell_length_c 4.887
_cell_angle_alpha 90.00
_cell_angle_beta 90.00
_cell_angle_gamma 90.00
_space_group_name_H-M_alt 'F -4 3 m'
_space_group_IT_number 216
_space_group_name_Hall 'F -4 2 3'
loop_
_atom_site_label
_atom_site_fract_x
_atom_site_fract_y
_atom_site_fract_z
Au1 0.000 0.000 0.000
N1 0.250 0.250 0.750
```

Summary:
Electronic total energy ... -300.1 eV/cell
Raw formation energy ... 1.72 eV/atom
Mass density ... 12.00 g/cm3

---

6.
A plane-wave DFT calculation with SCAN was carried out for KFeIr2 at its PBEsol-relaxed geometry.

Geometry as CIF:
```
data_KFeIr2
_chemical_formula_sum 'K3 Fe3 Ir6'
_cell_length_a 2.7199
_cell_length_b 2.7199
_cell_length_c 29.9040
_cell_angle_alpha 90.00
_cell_angle_beta 90.00
_cell_angle_gamma 120.00
_space_group_name_H-M_alt 'R 3 m'
_space_group_IT_number 160
_space_group_name_Hall 'R 3 -2"'
loop_
_atom_site_label
_atom_site_fract_x
_atom_site_fract_y
_atom_site_fract_z
K1 0.0000 0.0000 0.0000
Fe1 0.0000 0.0000 0.2351
Ir1 0.0000 0.0000 0.5016
Ir2 0.0000 0.0000 0.7600
```

Summary:
ΔE_f ... 588 meV per atom
Electronic total energy ... -498.9 eV/cell
Mass density ... 12.46 g/cm3

---

7.
A plane-wave DFT calculation with SCAN was carried out for SbAs4 at its PBEsol-relaxed geometry.

Geometry as CIF:
```
data_SbAs4
_chemical_formula_sum 'Sb2 As8'
_cell_length_a 5.070
_cell_length_b 5.070
_cell_length_c 8.449
_cell_angle_alpha 90.00
_cell_angle_beta 90.00
_cell_angle_gamma 90.00
_space_group_name_H-M_alt 'I 4/m m m'
_space_group_IT_number 139
_space_group_name_Hall '-I 4 2'
loop_
_atom_site_label
_atom_site_fract_x
_atom_site_fract_y
_atom_site_fract_z
Sb1 0.000 0.000 0.000
As1 0.000 0.000 0.347
As2 0.000 0.500 0.250
```

Summary:
Electronic total energy ... -232.9 eV/cell
Raw formation energy ... 0.32 eV/atom
Mass density ... 6.44 g/cm3

---

8.
A plane-wave DFT calculation with SCAN was carried out for YTeIO2 at its PBEsol-relaxed geometry.

Geometry as CIF:
```
data_YTeIO2
_chemical_formula_sum 'Y1 Te1 I1 O2'
_cell_length_a 4.323
_cell_length_b 4.323
_cell_length_c 6.582
_cell_angle_alpha 90.00
_cell_angle_beta 90.00
_cell_angle_gamma 90.00
_space_group_name_H-M_alt 'P 4/m m m'
_space_group_IT_number 123
_space_group_name_Hall '-P 4 2'
loop_
_atom_site_label
_atom_site_fract_x
_atom_site_fract_y
_atom_site_fract_z
Y1 0.000 0.000 0.000
Te1 0.500 0.500 0.500
I1 0.000 0.000 0.500
O1 0.000 0.500 0.000
```

Summary:
Electronic total energy ... -120.3 eV/cell
Raw formation energy ... -1.20 eV/atom
Mass density ... 5.07 g/cm3

---

9.
A plane-wave DFT calculation with SCAN was carried out for HfHgIO2 at its PBEsol-relaxed geometry.

Geometry as CIF:
```
data_HfHgIO2
_chemical_formula_sum 'Hf1 Hg1 I1 O2'
_cell_length_a 4.087
_cell_length_b 4.087
_cell_length_c 5.964
_cell_angle_alpha 90.00
_cell_angle_beta 90.00
_cell_angle_gamma 90.00
_space_group_name_H-M_alt 'P 4/m m m'
_space_group_IT_number 123
_space_group_name_Hall '-P 4 2'
loop_
_atom_site_label
_atom_site_fract_x
_atom_site_fract_y
_atom_site_fract_z
Hf1 0.000 0.000 0.000
Hg1 0.500 0.500 0.500
I1 0.000 0.000 0.500
O1 0.000 0.500 0.000
```

Summary:
Electronic total energy ... -188.2 eV/cell
Raw formation energy ... -1.63 eV/atom
Mass density ... 8.97 g/cm3

---

10.
A plane-wave DFT calculation with SCAN was carried out for Li4VFe3O8 at its PBEsol-relaxed geometry.

Geometry as CIF:
```
data_Li4VFe3O8
_chemical_formula_sum 'Li12 V3 Fe9 O24'
_cell_length_a 5.7960
_cell_length_b 5.7960
_cell_length_c 14.4778
_cell_angle_alpha 90.00
_cell_angle_beta 90.00
_cell_angle_gamma 120.00
_space_group_name_H-M_alt 'R -3 m'
_space_group_IT_number 166
_space_group_name_Hall '-R 3 2"'
loop_
_atom_site_label
_atom_site_fract_x
_atom_site_fract_y
_atom_site_fract_z
Li1 0.0000 0.0000 0.0000
Li2 0.0000 0.5000 0.0000
V1 0.0000 0.0000 0.5000
Fe1 0.0000 0.5000 0.5000
O1 0.0000 0.0000 0.2444
O2 0.0182 0.5091 0.2449
```

Summary:
Electronic total energy ... -493.5 eV/cell
Raw formation energy ... -2.07 eV/atom
Mass density ... 4.43 g/cm3

---

11.
A plane-wave DFT calculation with SCAN was carried out for Ti3AgI at its PBEsol-relaxed geometry.

Geometry as CIF:
```
data_Ti3AgI
_chemical_formula_sum 'Ti3 Ag1 I1'
_cell_length_a 4.895
_cell_length_b 4.895
_cell_length_c 4.895
_cell_angle_alpha 90.00
_cell_angle_beta 90.00
_cell_angle_gamma 90.00
_space_group_name_H-M_alt 'P m -3 m'
_space_group_IT_number 221
_space_group_name_Hall '-P 4 2 3'
loop_
_atom_site_label
_atom_site_fract_x
_atom_site_fract_y
_atom_site_fract_z
Ti1 0.000 0.000 0.500
Ag1 0.000 0.000 0.000
I1 0.500 0.500 0.500
```

Summary:
Electronic total energy ... -111.8 eV/cell
Raw formation energy ... 0.88 eV/atom
Mass density ... 5.36 g/cm3

---

12.
A plane-wave DFT calculation with SCAN was carried out for KSrYHg2 at its PBEsol-relaxed geometry.

Geometry as CIF:
```
data_KSrYHg2
_chemical_formula_sum 'K1 Sr1 Y1 Hg2'
_cell_length_a 5.733
_cell_length_b 5.733
_cell_length_c 6.328
_cell_angle_alpha 90.00
_cell_angle_beta 90.00
_cell_angle_gamma 90.00
_space_group_name_H-M_alt 'P 4/m m m'
_space_group_IT_number 123
_space_group_name_Hall '-P 4 2'
loop_
_atom_site_label
_atom_site_fract_x
_atom_site_fract_y
_atom_site_fract_z
K1 0.000 0.000 0.000
Sr1 0.500 0.500 0.000
Y1 0.500 0.500 0.500
Hg1 0.000 0.500 0.500
```

Summary:
ΔE_f ... 167 meV per atom
Electronic total energy ... -193.9 eV/cell
Mass density ... 4.92 g/cm3

---

13.
A plane-wave DFT calculation with SCAN was carried out for MgZn3 at its PBEsol-relaxed geometry.

Geometry as CIF:
```
data_MgZn3
_chemical_formula_sum 'Mg4 Zn12'
_cell_length_a 3.982
_cell_length_b 3.982
_cell_length_c 15.686
_cell_angle_alpha 90.00
_cell_angle_beta 90.00
_cell_angle_gamma 90.00
_space_group_name_H-M_alt 'I 4/m m m'
_space_group_IT_number 139
_space_group_name_Hall '-I 4 2'
loop_
_atom_site_label
_atom_site_fract_x
_atom_site_fract_y
_atom_site_fract_z
Mg1 0.000 0.000 0.124
Zn1 0.000 0.000 0.371
Zn2 0.000 0.500 0.000
Zn3 0.000 0.500 0.250
```

Summary:
ΔE_f ... -66 meV per atom
Electronic total energy ... -183.1 eV/cell
Mass density ... 5.89 g/cm3

---

14.
A plane-wave DFT calculation with SCAN was carried out for LiTe2Br at its PBEsol-relaxed geometry.

Geometry as CIF:
```
data_LiTe2Br
_chemical_formula_sum 'Li2 Te4 Br2'
_cell_length_a 4.107
_cell_length_b 4.107
_cell_length_c 15.058
_cell_angle_alpha 90.00
_cell_angle_beta 90.00
_cell_angle_gamma 90.00
_space_group_name_H-M_alt 'I 4/m m m'
_space_group_IT_number 139
_space_group_name_Hall '-I 4 2'
loop_
_atom_site_label
_atom_site_fract_x
_atom_site_fract_y
_atom_site_fract_z
Li1 0.000 0.000 0.000
Te1 0.000 0.500 0.250
Br1 0.000 0.000 0.500
```

Summary:
Electronic total energy ... -197.7 eV/cell
Raw formation energy ... -0.63 eV/atom
Mass density ... 4.47 g/cm3